Record 1
# EuNiBr2

A relaxed structure of EuNiBr2 (PBE, Alexandria).

Output
size of the total moment: 1.6347 μB/atom
uncorrected formation energy: -39.66 kJ per mole of atoms

```
data_EuNiBr2
_chemical_formula_sum 'Eu3 Ni3 Br6'
_cell_length_a 3.9253
_cell_length_b 3.9253
_cell_length_c 25.8426
_cell_angle_alpha 90.00
_cell_angle_beta 90.00
_cell_angle_gamma 120.00
_space_group_name_H-M_alt 'R -3 m'
_space_group_IT_number 166
_space_group_name_Hall '-R 3 2"'
loop_
_atom_site_label
_atom_site_type_symbol
_atom_site_fract_x
_atom_site_fract_y
_atom_site_fract_z
Eu1 Eu 0.0000 0.0000 0.0000
Ni1 Ni 0.0000 0.0000 0.5000
Br1 Br 0.0000 0.0000 0.1144
```

---

Record 2
# Li2BeOs

A relaxed structure of Li2BeOs (PBE, Alexandria).

Output
size of the total moment: 0.0000 μB/atom
E_form: 0.26 eV per atom

```
data_Li2BeOs
_chemical_formula_sum 'Li4 Be2 Os2'
_cell_length_a 2.7072
_cell_length_b 4.3436
_cell_length_c 8.9309
_cell_angle_alpha 90.00
_cell_angle_beta 90.00
_cell_angle_gamma 90.00
_space_group_name_H-M_alt 'C m m m'
_space_group_IT_number 65
_space_group_name_Hall '-C 2 2'
loop_
_atom_site_label
_atom_site_type_symbol
_atom_site_fract_x
_atom_site_fract_y
_atom_site_fract_z
Li1 Li 0.0000 0.0000 0.2463
Be1 Be 0.0000 0.5000 0.0000
Os1 Os 0.0000 0.5000 0.5000
```

---

Record 3
# BeCdHg2

A relaxed structure of BeCdHg2 (PBE, Alexandria).

Output
size of the total moment: 0.0000 μB/atom
E_form: 0.45 eV per atom

```
data_BeCdHg2
_chemical_formula_sum 'Be4 Cd4 Hg8'
_cell_length_a 6.8488
_cell_length_b 6.8488
_cell_length_c 6.8488
_cell_angle_alpha 90.00
_cell_angle_beta 90.00
_cell_angle_gamma 90.00
_space_group_name_H-M_alt 'F m -3 m'
_space_group_IT_number 225
_space_group_name_Hall '-F 4 2 3'
loop_
_atom_site_label
_atom_site_type_symbol
_atom_site_fract_x
_atom_site_fract_y
_atom_site_fract_z
Be1 Be 0.0000 0.0000 0.0000
Cd1 Cd 0.0000 0.0000 0.5000
Hg1 Hg 0.2500 0.2500 0.2500
```

---

Record 4
# Tb4Dy4Sc3

A relaxed structure of Tb4Dy4Sc3 (PBE, Alexandria).

Output
size of the total moment: 0.0000 μB/atom
E_form: 0.10 eV per atom

```
data_Tb4Dy4Sc3
_chemical_formula_sum 'Tb4 Dy4 Sc3'
_cell_length_a 3.4146
_cell_length_b 5.4879
_cell_length_c 17.6596
_cell_angle_alpha 81.10
_cell_angle_beta 84.47
_cell_angle_gamma 90.00
_space_group_name_H-M_alt 'P -1'
_space_group_IT_number 2
_space_group_name_Hall '-P 1'
loop_
_atom_site_label
_atom_site_type_symbol
_atom_site_fract_x
_atom_site_fract_y
_atom_site_fract_z
Tb1 Tb 0.0453 0.0447 0.4086
Tb2 Tb 0.1777 0.6784 0.1431
Dy1 Dy 0.0888 0.5881 0.3215
Dy2 Dy 0.2319 0.2316 0.0368
Sc1 Sc 0.3655 0.8654 0.7702
Sc2 Sc 0.5000 0.5000 0.5000
```

---

Record 5
# Sm8Pt3RhBr4

A relaxed structure of Sm8Pt3RhBr4 (PBE, Alexandria).

Output
size of the total moment: 0.0000 μB/atom
uncorrected formation energy: -117.03 kJ per mole of atoms

```
data_Sm8Pt3RhBr4
_chemical_formula_sum 'Sm16 Pt6 Rh2 Br8'
_cell_length_a 14.3922
_cell_length_b 8.3116
_cell_length_c 9.0657
_cell_angle_alpha 90.00
_cell_angle_beta 122.00
_cell_angle_gamma 90.00
_space_group_name_H-M_alt 'C 1 2/m 1'
_space_group_IT_number 12
_space_group_name_Hall '-C 2y'
loop_
_atom_site_label
_atom_site_type_symbol
_atom_site_fract_x
_atom_site_fract_y
_atom_site_fract_z
Sm1 Sm 0.0165 0.2463 0.3036
Sm2 Sm 0.2299 0.0000 0.6965
Sm3 Sm 0.2324 0.5000 0.6968
Pt1 Pt 0.0000 0.5000 0.5000
Pt2 Pt 0.2500 0.2500 0.5000
Rh1 Rh 0.0000 0.0000 0.5000
Br1 Br 0.0000 0.0000 0.0000
Br2 Br 0.0000 0.5000 0.0000
Br3 Br 0.2500 0.2500 0.0000
```

---

Record 6
# BaCu4SbAs2

A relaxed structure of BaCu4SbAs2 (PBE, Alexandria).

Output
size of the total moment: 0.0000 μB/atom
uncorrected formation energy: -27.81 kJ per mole of atoms

```
data_BaCu4SbAs2
_chemical_formula_sum 'Ba1 Cu4 Sb1 As2'
_cell_length_a 4.2251
_cell_length_b 4.2251
_cell_length_c 9.1385
_cell_angle_alpha 90.00
_cell_angle_beta 90.00
_cell_angle_gamma 90.00
_space_group_name_H-M_alt 'P 4/m m m'
_space_group_IT_number 123
_space_group_name_Hall '-P 4 2'
loop_
_atom_site_label
_atom_site_type_symbol
_atom_site_fract_x
_atom_site_fract_y
_atom_site_fract_z
Ba1 Ba 0.0000 0.0000 0.0000
Cu1 Cu 0.0000 0.5000 0.3214
Sb1 Sb 0.0000 0.0000 0.5000
As1 As 0.5000 0.5000 0.1889
```

---

Record 7
# Fe3Se

A relaxed structure of Fe3Se (PBE, Alexandria).

Output
size of the total moment: 1.8466 μB/atom
uncorrected formation energy: 29.30 kJ per mole of atoms

```
data_Fe3Se
_chemical_formula_sum 'Fe3 Se1'
_cell_length_a 3.0504
_cell_length_b 3.0504
_cell_length_c 6.9325
_cell_angle_alpha 90.00
_cell_angle_beta 90.00
_cell_angle_gamma 120.00
_space_group_name_H-M_alt 'P -6 m 2'
_space_group_IT_number 187
_space_group_name_Hall 'P -6 2'
loop_
_atom_site_label
_atom_site_type_symbol
_atom_site_fract_x
_atom_site_fract_y
_atom_site_fract_z
Fe1 Fe 0.0000 0.0000 0.0000
Fe2 Fe 0.3333 0.6667 0.2477
Se1 Se 0.0000 0.0000 0.5000
```

---

Record 8
# CdPb2I2

A relaxed structure of CdPb2I2 (PBE, Alexandria).

Output
size of the total moment: 0.0000 μB/atom
uncorrected formation energy: -12.68 kJ per mole of atoms

```
data_CdPb2I2
_chemical_formula_sum 'Cd2 Pb4 I4'
_cell_length_a 6.5293
_cell_length_b 6.5293
_cell_length_c 9.5872
_cell_angle_alpha 90.00
_cell_angle_beta 90.00
_cell_angle_gamma 90.00
_space_group_name_H-M_alt 'I 4/m m m'
_space_group_IT_number 139
_space_group_name_Hall '-I 4 2'
loop_
_atom_site_label
_atom_site_type_symbol
_atom_site_fract_x
_atom_site_fract_y
_atom_site_fract_z
Cd1 Cd 0.0000 0.0000 0.0000
Pb1 Pb 0.0000 0.0000 0.3212
I1 I 0.0000 0.5000 0.2500
```

---

Record 9
# LaRuRh2

A relaxed structure of LaRuRh2 (PBE, Alexandria).

Output
size of the total moment: 0.0000 μB/atom
E_form: 0.02 eV per atom

```
data_LaRuRh2
_chemical_formula_sum 'La1 Ru1 Rh2'
_cell_length_a 2.9224
_cell_length_b 3.9171
_cell_length_c 6.3109
_cell_angle_alpha 90.00
_cell_angle_beta 90.00
_cell_angle_gamma 90.00
_space_group_name_H-M_alt 'P m m 2'
_space_group_IT_number 25
_space_group_name_Hall 'P 2 -2'
loop_
_atom_site_label
_atom_site_type_symbol
_atom_site_fract_x
_atom_site_fract_y
_atom_site_fract_z
La1 La 0.0000 0.0000 0.0000
Ru1 Ru 0.5000 0.5000 0.6810
Rh1 Rh 0.0000 0.0000 0.5163
Rh2 Rh 0.5000 0.5000 0.2726
```

---

Record 10
# LaErIrPt

A relaxed structure of LaErIrPt (PBE, Alexandria).

Output
size of the total moment: 0.0000 μB/atom
E_form: -0.92 eV per atom

```
data_LaErIrPt
_chemical_formula_sum 'La4 Er4 Ir4 Pt4'
_cell_length_a 7.0670
_cell_length_b 7.0670
_cell_length_c 7.0670
_cell_angle_alpha 90.00
_cell_angle_beta 90.00
_cell_angle_gamma 90.00
_space_group_name_H-M_alt 'F -4 3 m'
_space_group_IT_number 216
_space_group_name_Hall 'F -4 2 3'
loop_
_atom_site_label
_atom_site_type_symbol
_atom_site_fract_x
_atom_site_fract_y
_atom_site_fract_z
La1 La 0.0000 0.0000 0.0000
Er1 Er 0.0000 0.0000 0.5000
Ir1 Ir 0.2500 0.2500 0.7500
Pt1 Pt 0.2500 0.2500 0.2500
```

---

Record 11
# Ta2ReW

A relaxed structure of Ta2ReW (PBE, Alexandria).

Output
size of the total moment: 0.0000 μB/atom
E_form: 0.19 eV per atom

```
data_Ta2ReW
_chemical_formula_sum 'Ta6 Re3 W3'
_cell_length_a 3.0297
_cell_length_b 3.0297
_cell_length_c 25.9314
_cell_angle_alpha 90.00
_cell_angle_beta 90.00
_cell_angle_gamma 120.00
_space_group_name_H-M_alt 'R -3 m'
_space_group_IT_number 166
_space_group_name_Hall '-R 3 2"'
loop_
_atom_site_label
_atom_site_type_symbol
_atom_site_fract_x
_atom_site_fract_y
_atom_site_fract_z
Ta1 Ta 0.0000 0.0000 0.2489
Re1 Re 0.0000 0.0000 0.5000
W1 W 0.0000 0.0000 0.0000
```

---

Record 12
# Pr6ZnCu5

A relaxed structure of Pr6ZnCu5 (PBE, Alexandria).

Output
size of the total moment: 0.0000 μB/atom
E_form: -0.15 eV per atom

```
data_Pr6ZnCu5
_chemical_formula_sum 'Pr6 Zn1 Cu5'
_cell_length_a 5.1595
_cell_length_b 7.2344
_cell_length_c 8.1632
_cell_angle_alpha 90.00
_cell_angle_beta 108.54
_cell_angle_gamma 90.00
_space_group_name_H-M_alt 'P 1 2/m 1'
_space_group_IT_number 10
_space_group_name_Hall '-P 2y'
loop_
_atom_site_label
_atom_site_type_symbol
_atom_site_fract_x
_atom_site_fract_y
_atom_site_fract_z
Pr1 Pr 0.0000 0.2435 0.0000
Pr2 Pr 0.3312 0.2486 0.6621
Zn1 Zn 0.5000 0.5000 0.0000
Cu1 Cu 0.1598 0.5000 0.3193
Cu2 Cu 0.1652 0.0000 0.3324
Cu3 Cu 0.5000 0.0000 0.0000
```

---

Record 13
# B2C

A relaxed structure of B2C (PBE, Alexandria).

Output
size of the total moment: 0.0000 μB/atom
E_form: 0.52 eV per atom

```
data_B2C
_chemical_formula_sum 'B8 C4'
_cell_length_a 4.2002
_cell_length_b 4.2195
_cell_length_c 5.6195
_cell_angle_alpha 96.51
_cell_angle_beta 110.16
_cell_angle_gamma 100.66
_space_group_name_H-M_alt 'P 1'
_space_group_IT_number 1
_space_group_name_Hall 'P 1'
loop_
_atom_site_label
_atom_site_type_symbol
_atom_site_fract_x
_atom_site_fract_y
_atom_site_fract_z
B1 B 0.0000 0.0000 0.0000
B2 B 0.0337 0.8216 0.5218
B3 B 0.1244 0.4965 0.9969
B4 B 0.2015 0.1072 0.3791
B5 B 0.3823 0.8797 0.1934
B6 B 0.4473 0.8424 0.5215
B7 B 0.5771 0.5787 0.1080
B8 B 0.8661 0.3428 0.1784
C1 C 0.0372 0.3575 0.7163
C2 C 0.1677 0.4764 0.5130
C3 C 0.7727 0.9516 0.1784
C4 C 0.8657 0.9935 0.6927
```

---

Record 14
# Y2CoBAu

A relaxed structure of Y2CoBAu (PBE, Alexandria).

Output
size of the total moment: 0.0000 μB/atom
E_form: -0.45 eV per atom

```
data_Y2CoBAu
_chemical_formula_sum 'Y2 Co1 B1 Au1'
_cell_length_a 5.0969
_cell_length_b 5.0969
_cell_length_c 3.7333
_cell_angle_alpha 90.00
_cell_angle_beta 90.00
_cell_angle_gamma 90.00
_space_group_name_H-M_alt 'P 4/m m m'
_space_group_IT_number 123
_space_group_name_Hall '-P 4 2'
loop_
_atom_site_label
_atom_site_type_symbol
_atom_site_fract_x
_atom_site_fract_y
_atom_site_fract_z
Y1 Y 0.0000 0.5000 0.0000
Co1 Co 0.0000 0.0000 0.5000
B1 B 0.0000 0.0000 0.0000
Au1 Au 0.5000 0.5000 0.5000
```

---

Record 15
# TbPa2Sb

A relaxed structure of TbPa2Sb (PBE, Alexandria).

Output
size of the total moment: 0.1042 μB/atom
uncorrected formation energy: -27.04 kJ per mole of atoms

```
data_TbPa2Sb
_chemical_formula_sum 'Tb1 Pa2 Sb1'
_cell_length_a 4.4681
_cell_length_b 4.4681
_cell_length_c 5.0876
_cell_angle_alpha 90.00
_cell_angle_beta 90.00
_cell_angle_gamma 90.00
_space_group_name_H-M_alt 'P 4/m m m'
_space_group_IT_number 123
_space_group_name_Hall '-P 4 2'
loop_
_atom_site_label
_atom_site_type_symbol
_atom_site_fract_x
_atom_site_fract_y
_atom_site_fract_z
Tb1 Tb 0.0000 0.0000 0.0000
Pa1 Pa 0.0000 0.5000 0.5000
Sb1 Sb 0.5000 0.5000 0.0000
```

---

Record 16
# MoS2

A relaxed structure of MoS2 (PBE, Alexandria).

Output
size of the total moment: 0.0000 μB/atom
uncorrected formation energy: -44.48 kJ per mole of atoms

```
data_MoS2
_chemical_formula_sum 'Mo2 S4'
_cell_length_a 4.1911
_cell_length_b 4.1910
_cell_length_c 6.6872
_cell_angle_alpha 90.00
_cell_angle_beta 108.12
_cell_angle_gamma 90.00
_space_group_name_H-M_alt 'C 1 2/m 1'
_space_group_IT_number 12
_space_group_name_Hall '-C 2y'
loop_
_atom_site_label
_atom_site_type_symbol
_atom_site_fract_x
_atom_site_fract_y
_atom_site_fract_z
Mo1 Mo 0.0000 0.0000 0.0000
S1 S 0.1130 0.5000 0.2277
```

---

Record 17
# U3S4

A relaxed structure of U3S4 (PBE, Alexandria).

Output
size of the total moment: 0.8811 μB/atom
uncorrected formation energy: -130.85 kJ per mole of atoms

```
data_U3S4
_chemical_formula_sum 'U9 S12'
_cell_length_a 3.8627
_cell_length_b 3.8627
_cell_length_c 39.0543
_cell_angle_alpha 90.00
_cell_angle_beta 90.00
_cell_angle_gamma 120.00
_space_group_name_H-M_alt 'R -3 m'
_space_group_IT_number 166
_space_group_name_Hall '-R 3 2"'
loop_
_atom_site_label
_atom_site_type_symbol
_atom_site_fract_x
_atom_site_fract_y
_atom_site_fract_z
U1 U 0.0000 0.0000 0.0000
U2 U 0.0000 0.0000 0.2514
S1 S 0.0000 0.0000 0.1197
S2 S 0.0000 0.0000 0.3743
```

---

Record 18
# CeErVN3

A relaxed structure of CeErVN3 (PBE, Alexandria).

Output
size of the total moment: 0.1256 μB/atom
uncorrected formation energy: -121.66 kJ per mole of atoms

```
data_CeErVN3
_chemical_formula_sum 'Ce2 Er2 V2 N6'
_cell_length_a 7.2578
_cell_length_b 3.4095
_cell_length_c 7.5195
_cell_angle_alpha 90.00
_cell_angle_beta 98.72
_cell_angle_gamma 90.00
_space_group_name_H-M_alt 'P 1 21/m 1'
_space_group_IT_number 11
_space_group_name_Hall '-P 2yb'
loop_
_atom_site_label
_atom_site_type_symbol
_atom_site_fract_x
_atom_site_fract_y
_atom_site_fract_z
Ce1 Ce 0.1738 0.2500 0.1748
Er1 Er 0.3636 0.7500 0.8353
V1 V 0.0903 0.2500 0.5994
N1 N 0.1221 0.2500 0.8511
N2 N 0.1716 0.7500 0.5169
N3 N 0.3984 0.7500 0.1444
```

---

Record 19
# Ce2AsRu

A relaxed structure of Ce2AsRu (PBE, Alexandria).

Output
size of the total moment: 0.1940 μB/atom
E_form: -0.62 eV per atom

```
data_Ce2AsRu
_chemical_formula_sum 'Ce6 As3 Ru3'
_cell_length_a 3.9330
_cell_length_b 3.9330
_cell_length_c 21.7694
_cell_angle_alpha 90.00
_cell_angle_beta 90.00
_cell_angle_gamma 120.00
_space_group_name_H-M_alt 'R 3 m'
_space_group_IT_number 160
_space_group_name_Hall 'R 3 -2"'
loop_
_atom_site_label
_atom_site_type_symbol
_atom_site_fract_x
_atom_site_fract_y
_atom_site_fract_z
Ce1 Ce 0.0000 0.0000 0.0000
Ce2 Ce 0.0000 0.0000 0.1601
As1 As 0.0000 0.0000 0.5804
Ru1 Ru 0.0000 0.0000 0.4103
```

---

Record 20
# CaEu2Mg

A relaxed structure of CaEu2Mg (PBE, Alexandria).

Output
size of the total moment: 3.8426 μB/atom
E_form: 0.23 eV per atom

```
data_CaEu2Mg
_chemical_formula_sum 'Ca3 Eu6 Mg3'
_cell_length_a 3.7089
_cell_length_b 3.7089
_cell_length_c 39.8003
_cell_angle_alpha 90.00
_cell_angle_beta 90.00
_cell_angle_gamma 120.00
_space_group_name_H-M_alt 'R -3 m'
_space_group_IT_number 166
_space_group_name_Hall '-R 3 2"'
loop_
_atom_site_label
_atom_site_type_symbol
_atom_site_fract_x
_atom_site_fract_y
_atom_site_fract_z
Ca1 Ca 0.0000 0.0000 0.0000
Eu1 Eu 0.0000 0.0000 0.4146
Mg1 Mg 0.0000 0.0000 0.5000
```

---

Record 21
# RuRhAu2

A relaxed structure of RuRhAu2 (PBE, Alexandria).

Output
size of the total moment: 0.0002 μB/atom
E_form: 0.15 eV per atom

```
data_RuRhAu2
_chemical_formula_sum 'Ru1 Rh1 Au2'
_cell_length_a 2.8145
_cell_length_b 2.8145
_cell_length_c 8.1277
_cell_angle_alpha 90.00
_cell_angle_beta 90.00
_cell_angle_gamma 90.00
_space_group_name_H-M_alt 'P 4 m m'
_space_group_IT_number 99
_space_group_name_Hall 'P 4 -2'
loop_
_atom_site_label
_atom_site_type_symbol
_atom_site_fract_x
_atom_site_fract_y
_atom_site_fract_z
Ru1 Ru 0.0000 0.0000 0.0000
Rh1 Rh 0.5000 0.5000 0.7938
Au1 Au 0.0000 0.0000 0.5329
Au2 Au 0.5000 0.5000 0.2572
```

---

VASP energy across the listed records, respectively: -5.261, -4.439, -0.857, -4.985, -5.583, -4.254, -6.914, -2.418, -7.203, -7.015, -12.083, -4.350, -7.002, -6.443, -7.216, -6.823, -8.552, -8.693, -7.073, -5.807, -5.647 eV per atom.